An optimized crystal structure of PrZn2SiAu. Source: the Alexandria database, functional GGA-PBE.

Cell: 6.183 6.183 6.183 Å, 140.17 140.03 57.70°
Fractional coordinates of all 5 atoms:
Pr 0.000 0.000 0.000
Zn 0.387 0.387 0.000
Zn 0.746 0.246 0.500
Si 0.609 0.609 0.000
Au 0.242 0.742 0.500

Output
Magnetic moment = 0.00 Bohr magnetons per cell
Formation energy (no corrections) = -0.52 eV/atom



An optimized crystal structure of Pa2CrRe3. Source: the Alexandria database, functional GGA-PBE.

Cell: 5.466 5.466 5.466 Å, 57.89 57.89 57.89°
Fractional coordinates of all 6 atoms:
Pa 0.128 0.128 0.128
Pa 0.872 0.872 0.872
Cr 0.500 0.500 0.500
Re 0.000 0.500 0.500
Re 0.500 0.000 0.500
Re 0.500 0.500 0.000

Output
E_form = -0.084 eV per atom
Magnetic moment = 1.56 Bohr magnetons per cell



An optimized crystal structure of Al2Mo2Pd. Source: the Alexandria database, functional GGA-PBE.

Cell: 6.529 6.529 3.586 Å, 90.00 90.00 90.00°
Fractional coordinates of all 10 atoms:
Al 0.134 0.366 0.000
Al 0.366 0.866 0.000
Al 0.634 0.134 0.000
Al 0.866 0.634 0.000
Mo 0.169 0.669 0.500
Mo 0.331 0.169 0.500
Mo 0.669 0.831 0.500
Mo 0.831 0.331 0.500
Pd 0.000 0.000 0.000
Pd 0.500 0.500 0.000

Output
E_form = -0.109 eV per atom
Magnetic moment = 0.00 Bohr magnetons per cell



An optimized crystal structure of SmHo2PuO8. Source: the Alexandria database, functional GGA-PBE.

Cell: 5.100 5.100 7.026 Å, 90.00 90.00 90.40°
Fractional coordinates of all 12 atoms:
Sm 0.000 0.000 0.000
Ho 0.500 0.500 0.242
Ho 0.500 0.500 0.758
Pu 0.000 0.000 0.500
O 0.186 0.814 0.282
O 0.186 0.814 0.718
O 0.279 0.279 0.500
O 0.314 0.314 0.000
O 0.686 0.686 0.000
O 0.721 0.721 0.500
O 0.814 0.186 0.282
O 0.814 0.186 0.718

Output
Magnetic moment = 1.01 Bohr magnetons per cell
Formation energy (no corrections) = -3.07 eV/atom



An optimized crystal structure of Er3Sc7In2. Source: the Alexandria database, functional GGA-PBE.

Cell: 10.672 10.672 10.672 Å, 33.32 33.32 33.32°
Fractional coordinates of all 12 atoms:
Er 0.000 0.000 0.000
Er 0.145 0.145 0.145
Er 0.855 0.855 0.855
Sc 0.083 0.582 0.582
Sc 0.418 0.418 0.917
Sc 0.418 0.917 0.418
Sc 0.500 0.500 0.500
Sc 0.582 0.083 0.582
Sc 0.582 0.582 0.083
Sc 0.917 0.418 0.418
In 0.333 0.333 0.333
In 0.667 0.667 0.667

Output
E_form = 0.044 eV per atom
Magnetic moment = 0.05 Bohr magnetons per cell



An optimized crystal structure of FePd2Pt5. Source: the Alexandria database, functional GGA-PBE.

Cell: 8.359 8.359 8.359 Å, 152.78 152.78 38.88°
Fractional coordinates of all 8 atoms:
Fe 0.000 0.000 0.000
Pd 0.252 0.252 0.000
Pd 0.748 0.748 0.000
Pt 0.121 0.621 0.500
Pt 0.379 0.879 0.500
Pt 0.500 0.500 0.000
Pt 0.621 0.121 0.500
Pt 0.879 0.379 0.500

Output
E_form = -0.146 eV per atom
Magnetic moment = 5.48 Bohr magnetons per cell